# K2CaTaSn

A PBEsol-optimized structure of K2CaTaSn (SCAN, the Alexandria database).

Results
* formation energy from the elements: 8.23 eV per formula unit
* space group: P4/mmm (123)
* density of states at the Fermi level: 5.589 states/eV/f.u.
* theoretical density: 3.5 g cm⁻³

extended XYZ file:
```
5
Lattice="5.6151 0.0000 0.0000 0.0000 5.9699 0.0000 0.0000 0.0000 5.9699" Properties=species:S:1:pos:R:3 pbc="T T T"
Ta 2.8076 2.9849 2.9849
Ca 0.0000 0.0000 0.0000
K 0.0000 2.9849 0.0000
K 0.0000 0.0000 2.9849
Sn 2.8076 0.0000 0.0000
```